[1]
Ac12Mg2In5: optimized geometry, GGA-PBE.

abc: 9.6670 9.6670 9.8919
angles: 92.99 92.99 54.45
Positions (direct):
Ac  0.0349  0.0349  0.1920
Ac  0.0933  0.6232  0.0667
Ac  0.1112  0.5405  0.6393
Ac  0.3768  0.9067  0.9333
Ac  0.4462  0.4462  0.3274
Ac  0.4595  0.8888  0.3607
Ac  0.5405  0.1112  0.6393
Ac  0.5538  0.5538  0.6726
Ac  0.6232  0.0933  0.0667
Ac  0.8888  0.4595  0.3607
Ac  0.9067  0.3768  0.9333
Ac  0.9651  0.9651  0.8080
Mg  0.1714  0.8286  0.5000
Mg  0.8286  0.1714  0.5000
In  0.1468  0.1468  0.6241
In  0.2398  0.2398  0.1796
In  0.5000  0.5000  0.0000
In  0.7602  0.7602  0.8204
In  0.8532  0.8532  0.3759

theoretical density: 7.40 g cm⁻³
energy of formation from the pure elements: -0.08 eV per atom

---

[2]
AcMg10In2: optimized geometry, GGA-PBE.

abc: 10.3690 7.9640 7.8754
angles: 81.78 49.48 48.74
Positions (direct):
Ac  0.0000  0.0000  0.0000
Mg  0.0000  0.5000  0.0000
Mg  0.0016  0.3556  0.6444
Mg  0.2847  0.4994  0.5006
Mg  0.3556  0.0016  0.9984
Mg  0.4994  0.2847  0.7153
Mg  0.5000  0.0000  0.5000
Mg  0.5006  0.7153  0.2847
Mg  0.6444  0.9984  0.0016
Mg  0.7153  0.5006  0.4994
Mg  0.9984  0.6444  0.3556
In  0.0000  0.0000  0.5000
In  0.5000  0.5000  0.0000

theoretical density: 3.61 g cm⁻³
energy of formation from the pure elements: -0.11 eV per atom

---

[3]
AcMg12In6: optimized geometry, GGA-PBE.

abc: 8.2767 8.2767 8.2767
angles: 104.93 104.93 104.93
Positions (direct):
Ac  0.0000  0.0000  0.0000
Mg  0.1104  0.5000  0.8896
Mg  0.1104  0.8896  0.5000
Mg  0.1578  0.4049  0.4049
Mg  0.4049  0.1578  0.4049
Mg  0.4049  0.4049  0.1578
Mg  0.5000  0.1104  0.8896
Mg  0.5000  0.8896  0.1104
Mg  0.5951  0.5951  0.8422
Mg  0.5951  0.8422  0.5951
Mg  0.8422  0.5951  0.5951
Mg  0.8896  0.1104  0.5000
Mg  0.8896  0.5000  0.1104
In  0.2667  0.2667  0.7286
In  0.2667  0.7286  0.2667
In  0.2714  0.7333  0.7333
In  0.7286  0.2667  0.2667
In  0.7333  0.2714  0.7333
In  0.7333  0.7333  0.2714

theoretical density: 4.04 g cm⁻³
energy of formation from the pure elements: 0.00 eV per atom

---

[4]
AcMg2In2: optimized geometry, GGA-PBE.

abc: 4.6889 4.6889 6.4643
angles: 90.00 90.00 90.00
Positions (direct):
Ac  0.0000  0.0000  0.0000
Mg  0.0000  0.5000  0.5000
Mg  0.5000  0.0000  0.5000
In  0.5000  0.5000  0.2210
In  0.5000  0.5000  0.7790

theoretical density: 5.90 g cm⁻³
energy relative to the lowest polymorph listed for this composition: 20 meV/atom
energy of formation from the pure elements: -0.30 eV per atom

---

[5]
Ac2Mg17In3: optimized geometry, GGA-PBE.

abc: 8.4829 8.4829 8.4829
angles: 84.56 84.56 84.56
Positions (direct):
Ac  0.1450  0.1450  0.1450
Ac  0.8550  0.8550  0.8550
Mg  0.0000  0.5000  0.5000
Mg  0.1692  0.1692  0.6929
Mg  0.1692  0.6929  0.1692
Mg  0.2457  0.5000  0.7543
Mg  0.2457  0.7543  0.5000
Mg  0.3071  0.8308  0.8308
Mg  0.3945  0.3945  0.3945
Mg  0.5000  0.0000  0.5000
Mg  0.5000  0.2457  0.7543
Mg  0.5000  0.5000  0.0000
Mg  0.5000  0.7543  0.2457
Mg  0.6055  0.6055  0.6055
Mg  0.6929  0.1692  0.1692
Mg  0.7543  0.2457  0.5000
Mg  0.7543  0.5000  0.2457
Mg  0.8308  0.3071  0.8308
Mg  0.8308  0.8308  0.3071
In  0.0000  0.0000  0.5000
In  0.0000  0.5000  0.0000
In  0.5000  0.0000  0.0000

theoretical density: 3.34 g cm⁻³
energy of formation from the pure elements: 0.06 eV per atom

---

[6]
Ac2Mg3In4: optimized geometry, GGA-PBE.

abc: 9.3463 9.3463 8.8062
angles: 90.00 90.00 138.60
Positions (direct):
Ac  0.1060  0.8940  0.9040
Ac  0.3940  0.6060  0.4040
Ac  0.6060  0.3940  0.5960
Ac  0.8940  0.1060  0.0960
Mg  0.0000  0.0000  0.5000
Mg  0.0210  0.4790  0.7500
Mg  0.4790  0.0210  0.2500
Mg  0.5000  0.5000  0.0000
Mg  0.5210  0.9790  0.7500
Mg  0.9790  0.5210  0.2500
In  0.1764  0.8236  0.5175
In  0.1893  0.3107  0.7500
In  0.3107  0.1893  0.2500
In  0.3236  0.6764  0.0175
In  0.6764  0.3236  0.9825
In  0.6893  0.8107  0.7500
In  0.8107  0.6893  0.2500
In  0.8236  0.1764  0.4825

theoretical density: 6.44 g cm⁻³
energy of formation from the pure elements: -0.31 eV per atom

---

[7]
AcMg2In: optimized geometry, GGA-PBE.

abc: 4.8309 4.8309 5.1263
angles: 90.00 90.00 90.00
Positions (direct):
Ac  0.0000  0.0000  0.0000
Mg  0.0000  0.5000  0.5000
Mg  0.5000  0.0000  0.5000
In  0.5000  0.5000  0.0000

theoretical density: 5.42 g cm⁻³
energy relative to the lowest polymorph listed for this composition: 107 meV/atom
energy of formation from the pure elements: -0.17 eV per atom

---

[8]
Ac6Mg5In: optimized geometry, GGA-PBE.

abc: 5.8130 8.2092 9.1993
angles: 90.00 108.30 90.00
Positions (direct):
Ac  0.0000  0.2471  0.0000
Ac  0.0000  0.7529  0.0000
Ac  0.3339  0.2496  0.6684
Ac  0.3339  0.7504  0.6684
Ac  0.6661  0.2496  0.3316
Ac  0.6661  0.7504  0.3316
Mg  0.1668  0.5000  0.3334
Mg  0.1710  0.0000  0.3406
Mg  0.5000  0.5000  0.0000
Mg  0.8290  0.0000  0.6594
Mg  0.8332  0.5000  0.6666
In  0.5000  0.0000  0.0000

theoretical density: 6.37 g cm⁻³
energy of formation from the pure elements: -0.14 eV per atom

---

- Which value of theoretical density does entry 1 give?
  7.40 g cm⁻³

---

- What is the theoretical density in the fifth record?
  3.34 g cm⁻³

---

What did the first record say?
Ac12Mg2In5: optimized geometry, GGA-PBE.

abc: 9.6670 9.6670 9.8919
angles: 92.99 92.99 54.45
Positions (direct):
Ac  0.0349  0.0349  0.1920
Ac  0.0933  0.6232  0.0667
Ac  0.1112  0.5405  0.6393
Ac  0.3768  0.9067  0.9333
Ac  0.4462  0.4462  0.3274
Ac  0.4595  0.8888  0.3607
Ac  0.5405  0.1112  0.6393
Ac  0.5538  0.5538  0.6726
Ac  0.6232  0.0933  0.0667
Ac  0.8888  0.4595  0.3607
Ac  0.9067  0.3768  0.9333
Ac  0.9651  0.9651  0.8080
Mg  0.1714  0.8286  0.5000
Mg  0.8286  0.1714  0.5000
In  0.1468  0.1468  0.6241
In  0.2398  0.2398  0.1796
In  0.5000  0.5000  0.0000
In  0.7602  0.7602  0.8204
In  0.8532  0.8532  0.3759

theoretical density: 7.40 g cm⁻³
energy of formation from the pure elements: -0.08 eV per atom